Record 1
In3IrC, optimized geometry, DFT PBE; ρ = 6613 kg/m³; energy relative to the lowest polymorph listed for this composition = 141 meV per atom; V = 27.6 Å³ per atom; space group = Pm-3m, No. 221; total DFT energy (no corrections) = -4.1276 eV/atom; energy relative to the elements = 1132 meV per atom
1.0
5.165 0.000 0.000
0.000 5.165 0.000
0.000 0.000 5.165
In Ir C
3 1 1
direct
0.000 0.000 0.500
0.000 0.500 0.000
0.500 0.000 0.000
0.000 0.000 0.000
0.500 0.500 0.500

Record 2
Sc7Ge2Te2, optimized geometry, DFT PBE; ρ = 4800 kg/m³; V = 22.5 Å³ per atom; space group = Imm2, No. 44; total DFT energy (no corrections) = -6.2566 eV/atom; formation energy without anion corrections = -0.817 eV per atom
1.0
-2.007 6.957 4.429
2.007 -6.957 4.429
2.007 6.957 -4.429
Sc Ge Te
7 2 2
direct
0.000 0.000 0.000
0.067 0.383 0.684
0.107 0.757 0.349
0.408 0.757 0.651
0.467 0.597 0.870
0.699 0.383 0.316
0.727 0.597 0.130
0.310 0.077 0.233
0.844 0.077 0.767
0.339 0.339 0.000
0.740 0.240 0.500

Record 3
TcRu2Br, optimized geometry, DFT PBE; ρ = 10350 kg/m³; energy relative to the lowest polymorph listed for this composition = 175 meV per atom; V = 15.2 Å³ per atom; space group = P2/m, No. 10; total DFT energy (no corrections) = -6.9325 eV/atom; formation energy without anion corrections = 0.715 eV per atom
1.0
2.904 0.000 0.000
0.000 4.069 0.000
-1.356 0.000 5.160
Tc Ru Br
1 2 1
direct
0.000 0.000 0.000
0.377 0.500 0.753
0.623 0.500 0.247
0.000 0.000 0.500

Record 4
Sm8Y5Sc, optimized geometry, DFT PBE; ρ = 5955 kg/m³; V = 33.7 Å³ per atom; space group = I-4, No. 82; total DFT energy (no corrections) = -5.1859 eV/atom; energy relative to the elements = 272 meV per atom
1.0
-4.825 4.825 5.068
4.825 -4.825 5.068
4.825 4.825 -5.068
Sm Y Sc
8 5 1
direct
0.080 0.342 0.604
0.165 0.438 0.096
0.342 0.069 0.904
0.524 0.920 0.262
0.562 0.658 0.726
0.658 0.262 0.738
0.738 0.476 0.396
0.931 0.835 0.274
0.029 0.718 0.901
0.282 0.183 0.311
0.500 0.500 0.000
0.817 0.128 0.099
0.872 0.971 0.689
0.250 0.750 0.500

Record 5
Pm3CuPb, optimized geometry, DFT PBE; ρ = 8376 kg/m³; energy relative to the lowest polymorph listed for this composition = 0 meV per atom; V = 28.0 Å³ per atom; space group = Pm-3m, No. 221; total DFT energy (no corrections) = -4.6262 eV/atom; energy relative to the elements = -215 meV per atom
1.0
7.487 0.000 0.000
0.000 7.487 0.000
0.000 0.000 7.487
Pm Cu Pb
9 3 3
direct
0.000 0.000 0.000
0.267 0.267 0.267
0.267 0.267 0.733
0.267 0.733 0.267
0.267 0.733 0.733
0.733 0.267 0.267
0.733 0.267 0.733
0.733 0.733 0.267
0.733 0.733 0.733
0.000 0.500 0.500
0.500 0.000 0.500
0.500 0.500 0.000
0.000 0.000 0.500
0.000 0.500 0.000
0.500 0.000 0.000

Record 6
Cs3MgF5, optimized geometry, DFT PBE; ρ = 4060 kg/m³; energy relative to the lowest polymorph listed for this composition = 0 meV per atom; V = 23.5 Å³ per atom; space group = I4/mcm, No. 140; total DFT energy (no corrections) = -4.4649 eV/atom; formation energy without anion corrections = -2.964 eV per atom
1.0
-4.056 4.056 6.440
4.056 -4.056 6.440
4.056 4.056 -6.440
Cs Mg F
6 2 10
direct
0.182 0.682 0.865
0.250 0.250 0.000
0.318 0.182 0.500
0.682 0.818 0.500
0.750 0.750 0.000
0.818 0.318 0.135
0.250 0.750 0.500
0.750 0.250 0.500
0.000 0.000 0.000
0.031 0.792 0.500
0.208 0.708 0.239
0.292 0.531 0.500
0.469 0.969 0.761
0.500 0.500 0.000
0.531 0.031 0.239
0.708 0.469 0.500
0.792 0.292 0.761
0.969 0.208 0.500

Record 7
BaInAgSn, optimized geometry, DFT PBE; ρ = 6838 kg/m³; V = 29.1 Å³ per atom; space group = F-43m, No. 216; total DFT energy (no corrections) = -3.1160 eV/atom; energy relative to the elements = -237 meV per atom
1.0
0.000 3.874 3.874
3.874 0.000 3.874
3.874 3.874 0.000
Ba In Ag Sn
1 1 1 1
direct
0.000 0.000 0.000
0.750 0.750 0.750
0.250 0.250 0.250
0.500 0.500 0.500

Record 8
Mn2BeIr, optimized geometry, DFT PBE; ρ = 11201 kg/m³; V = 11.5 Å³ per atom; space group = P4mm, No. 99; total DFT energy (no corrections) = -7.9541 eV/atom; energy relative to the elements = -222 meV per atom
1.0
2.887 0.000 0.000
0.000 2.887 0.000
0.000 0.000 5.533
Mn Be Ir
2 1 1
direct
0.000 0.000 0.000
0.500 0.500 0.234
0.000 0.000 0.473
0.500 0.500 0.697

Record 9
TlCuRu2, optimized geometry, DFT PBE; ρ = 12236 kg/m³; energy relative to the lowest polymorph listed for this composition = 224 meV per atom; V = 15.9 Å³ per atom; space group = I4/mmm, No. 139; total DFT energy (no corrections) = -5.6533 eV/atom; energy relative to the elements = 600 meV per atom
1.0
-1.973 1.973 4.097
1.973 -1.973 4.097
1.973 1.973 -4.097
Tl Cu Ru
1 1 2
direct
0.000 0.000 0.000
0.500 0.500 0.000
0.250 0.750 0.500
0.750 0.250 0.500

Record 10
ErZrInAg, optimized geometry, DFT PBE; ρ = 8650 kg/m³; V = 23.1 Å³ per atom; space group = F-43m, No. 216; total DFT energy (no corrections) = -4.8916 eV/atom; energy relative to the elements = -216 meV per atom
1.0
0.000 3.588 3.588
3.588 0.000 3.588
3.588 3.588 0.000
Er Zr In Ag
1 1 1 1
direct
0.000 0.000 0.000
0.500 0.500 0.500
0.750 0.750 0.750
0.250 0.250 0.250

Record 11
YPuB, optimized geometry, DFT PBE; ρ = 10015 kg/m³; V = 19.0 Å³ per atom; space group = P-62m, No. 189; total DFT energy (no corrections) = -9.0871 eV/atom; energy relative to the elements = 71 meV per atom
1.0
6.998 0.000 0.000
-3.499 6.060 0.000
0.000 0.000 4.032
Y Pu B
3 3 3
direct
0.000 0.431 0.000
0.431 0.000 0.000
0.569 0.569 0.000
0.000 0.766 0.500
0.234 0.234 0.500
0.766 0.000 0.500
0.000 0.000 0.000
0.333 0.667 0.500
0.667 0.333 0.500

Record 12
H2PdNO, optimized geometry, DFT PBE; ρ = 6113 kg/m³; energy relative to the lowest polymorph listed for this composition = 0 meV per atom; V = 7.5 Å³ per atom; space group = P4/mmm, No. 123; total DFT energy (no corrections) = -4.6435 eV/atom
1.0
2.900 0.000 0.000
0.000 2.900 0.000
0.000 0.000 4.473
H Pd N O
2 1 1 1
direct
0.000 0.500 0.000
0.500 0.000 0.000
0.000 0.000 0.500
0.000 0.000 0.000
0.500 0.500 0.500

- Which value of ρ does entry 10 give?
  8650 kg/m³